Version A
The following is a DFT calculation (PBE) of a geometry-optimized HfV2Ag structure.

The structure in extended XYZ format:
```
8
Lattice="-2.919 -2.141 -1.239 2.471 -2.610 -1.312 -0.506 -6.983 7.353" Properties=species:S:1:pos:R:3 pbc="T T T"
Hf 0.000 0.000 0.000
Hf -1.824 -5.750 2.420
Ag -0.224 -2.375 -1.276
Ag 0.871 -5.984 2.383
V -1.679 -3.437 0.884
V 1.090 -3.617 0.879
V -0.579 -6.985 4.575
V -0.740 -9.427 3.266
```

***

Version B
The following is a DFT calculation (PBE) of a geometry-optimized HfV2Ag structure.

The structure in extended XYZ format:
```
4
Lattice="-2.457 1.965 3.260 -2.357 3.763 -0.897 -4.525 -0.148 -0.173" Properties=species:S:1:pos:R:3 pbc="T T T"
Hf -4.669 2.790 1.095
Ag 0.000 0.000 0.000
V -2.334 1.395 0.547
V -7.003 4.186 1.642
```

***

Most stable structure - version B; separation to the second - 0.238 eV/atom.

***

Version A
The following is a DFT calculation (PBE) of a geometry-optimized Hf2VAg structure.

The structure in extended XYZ format:
```
4
Lattice="-0.806 -0.324 -2.811 -2.595 -1.221 -0.655 -5.597 8.868 -0.956" Properties=species:S:1:pos:R:3 pbc="T T T"
Hf -4.465 6.488 -1.007
Hf -4.534 0.836 -3.415
Ag -4.499 3.662 -2.211
V 0.000 0.000 0.000
```

***

Version B
The following is a DFT calculation (PBE) of a geometry-optimized Hf2VAg structure.

The structure in extended XYZ format:
```
4
Lattice="3.344 0.000 0.000 0.000 4.762 0.000 0.000 0.000 4.762" Properties=species:S:1:pos:R:3 pbc="T T T"
Hf 0.000 0.000 2.381
Hf 0.000 2.381 0.000
Ag 1.672 0.000 0.000
V 1.672 2.381 2.381
```

***

Most stable structure - version B; separation to the second - 0.361 eV/atom.

***

Version A
The following is a DFT calculation (PBE) of a geometry-optimized HfVAg2 structure.

The structure in extended XYZ format:
```
4
Lattice="4.471 -1.398 0.451 1.847 -0.635 4.282 0.964 -4.346 1.527" Properties=species:S:1:pos:R:3 pbc="T T T"
Hf 3.641 -3.189 3.130
Ag 1.820 -1.595 1.565
Ag 5.461 -4.784 4.694
V 0.000 0.000 0.000
```

***

Version B
The following is a DFT calculation (PBE) of a geometry-optimized HfVAg2 structure.

The structure in extended XYZ format:
```
8
Lattice="-3.684 -3.228 -5.740 6.560 -1.225 -3.521 1.642 -4.607 -3.423" Properties=species:S:1:pos:R:3 pbc="T T T"
Hf 0.000 0.000 0.000
Hf -0.302 -5.031 -6.897
Ag -0.988 -3.249 -4.753
Ag 3.966 -2.395 -3.905
Ag 2.460 -5.153 -6.120
Ag 3.599 -7.324 -10.591
V 1.438 -2.226 -4.631
V 4.820 -4.030 -5.787
```

***

Most stable structure - version A; separation to the second - 0.314 eV/atom.

***

Version A
The following is a DFT calculation (PBE) of a geometry-optimized HfAgW3 structure.

The structure in extended XYZ format:
```
5
Lattice="4.803 0.000 0.000 0.000 4.803 0.000 0.000 0.000 4.803" Properties=species:S:1:pos:R:3 pbc="T T T"
Hf 0.000 0.000 0.000
Ag 2.401 2.401 2.401
W 0.000 2.401 0.000
W 0.000 0.000 2.401
W 2.401 0.000 0.000
```

***

Version B
The following is a DFT calculation (PBE) of a geometry-optimized HfAgW3 structure.

The structure in extended XYZ format:
```
5
Lattice="-4.459 -1.653 0.488 1.597 -3.455 2.893 -0.647 2.862 3.774" Properties=species:S:1:pos:R:3 pbc="T T T"
Hf -1.755 -1.123 3.578
Ag 0.000 0.000 0.000
W 0.798 -1.727 1.447
W -0.324 1.431 1.887
W -2.230 -0.826 0.244
```

***

Most stable structure - version B; separation to the second - 0.021 eV/atom.

***

Version A
The following is a DFT calculation (PBE) of a geometry-optimized HfAg2W structure.

The structure in extended XYZ format:
```
8
Lattice="-1.941 0.655 3.291 0.857 -3.579 1.217 8.153 2.121 6.670" Properties=species:S:1:pos:R:3 pbc="T T T"
Hf -0.542 -1.462 2.254
Hf 4.234 -1.461 5.071
Ag 0.920 0.496 3.897
Ag 2.343 -1.629 2.819
Ag 5.703 0.516 6.686
Ag 5.171 -0.991 8.955
W 0.000 0.000 0.000
W 2.835 0.657 6.108
```

***

Version B
The following is a DFT calculation (PBE) of a geometry-optimized HfAg2W structure.

The structure in extended XYZ format:
```
4
Lattice="-1.955 3.380 2.586 -1.424 3.973 -2.029 -4.575 0.911 -0.409" Properties=species:S:1:pos:R:3 pbc="T T T"
Hf 0.000 0.000 0.000
Ag -1.989 2.066 0.037
Ag -5.966 6.198 0.111
W -3.977 4.132 0.074
```

***

Most stable structure - version B; separation to the second - 0.158 eV/atom.

***

Version A
The following is a DFT calculation (PBE) of a geometry-optimized YHfAg structure.

The structure in extended XYZ format:
```
6
Lattice="3.376 0.000 -0.002 0.000 3.377 0.000 3.388 0.000 12.322" Properties=species:S:1:pos:R:3 pbc="T T T"
Y 5.100 1.433 11.566
Y 5.097 1.433 7.481
Hf 1.716 1.433 3.590
Hf 3.403 3.122 1.659
Ag 3.410 3.121 9.501
Ag 3.406 3.121 5.384
```

***

Version B
The following is a DFT calculation (PBE) of a geometry-optimized YHfAg structure.

The structure in extended XYZ format:
```
6
Lattice="4.041 -2.333 0.000 0.000 4.666 0.000 0.000 0.000 11.423" Properties=species:S:1:pos:R:3 pbc="T T T"
Y 0.000 0.000 2.856
Y 0.000 0.000 8.568
Hf 0.000 0.000 0.000
Hf 0.000 0.000 5.712
Ag 1.347 2.333 2.856
Ag 2.694 0.000 8.568
```

***

Version C
The following is a DFT calculation (PBE) of a geometry-optimized YHfAg structure.

The structure in extended XYZ format:
```
12
Lattice="-4.196 -1.890 7.162 -2.702 -5.482 -3.030 3.801 -2.709 1.512" Properties=species:S:1:pos:R:3 pbc="T T T"
Y 0.000 0.000 0.000
Y -1.549 -5.040 2.822
Y -0.198 -2.299 4.337
Y -1.351 -2.741 -1.515
Hf -2.075 -2.001 1.631
Hf -0.825 -5.781 -0.323
Hf -1.023 -8.080 4.013
Hf -2.272 -4.300 5.967
Ag 0.328 -5.339 5.529
Ag -3.623 -7.041 4.452
Ag -3.425 -4.741 0.115
Ag 0.526 -3.040 1.192
```

***

Most stable structure - version A; separation to the second - 0.244 eV/atom.

***

Version A
The following is a DFT calculation (PBE) of a geometry-optimized YHfAg structure.

The structure in extended XYZ format:
```
6
Lattice="8.630 0.014 0.000 -1.535 4.877 0.000 0.000 0.000 3.328" Properties=species:S:1:pos:R:3 pbc="T T T"
Y 5.843 3.834 0.236
Y 0.354 2.133 0.236
Hf 3.098 2.984 1.900
Hf 3.865 0.546 0.236
Ag 6.182 1.260 1.899
Ag 0.014 4.706 1.900
```

***

Version B
The following is a DFT calculation (PBE) of a geometry-optimized YHfAg structure.

The structure in extended XYZ format:
```
6
Lattice="-6.506 -0.892 -0.584 0.370 -4.174 2.258 -2.396 1.835 3.785" Properties=species:S:1:pos:R:3 pbc="T T T"
Y -5.793 -1.034 3.165
Y -3.580 -2.428 5.244
Hf -4.270 -3.991 2.467
Hf -2.708 -1.306 2.156
Ag -7.249 -3.678 3.534
Ag -6.236 -2.512 0.507
```

***

Version C
The following is a DFT calculation (PBE) of a geometry-optimized YHfAg structure.

The structure in extended XYZ format:
```
6
Lattice="-1.389 4.910 -0.706 -1.318 -2.452 4.335 5.042 1.793 2.548" Properties=species:S:1:pos:R:3 pbc="T T T"
Y -0.082 0.450 3.291
Y 2.416 3.801 2.885
Hf 2.439 1.347 4.565
Hf -0.105 2.904 1.611
Ag 0.000 0.000 0.000
Ag 2.521 0.897 1.274
```

***

Most stable structure - version A; separation to the second - 0.023 eV/atom.

***

Version A
The following is a DFT calculation (PBE) of a geometry-optimized Y3HfAg structure.

The structure in extended XYZ format:
```
5
Lattice="-3.464 0.407 4.203 -4.196 -0.941 -3.367 0.473 -5.365 0.909" Properties=species:S:1:pos:R:3 pbc="T T T"
Y -2.098 -0.470 -1.684
Y 0.237 -2.682 0.455
Y -1.732 0.204 2.102
Hf -3.594 -2.949 0.873
Ag 0.000 0.000 0.000
```

***

Version B
The following is a DFT calculation (PBE) of a geometry-optimized Y3HfAg structure.

The structure in extended XYZ format:
```
5
Lattice="-5.195 0.466 -1.895 -0.838 -5.400 0.970 -1.762 1.194 5.125" Properties=species:S:1:pos:R:3 pbc="T T T"
Y -0.419 -2.700 0.485
Y -0.881 0.597 2.563
Y -2.598 0.233 -0.947
Hf 0.000 0.000 0.000
Ag -3.898 -1.870 2.100
```

***

Most stable structure - version A; separation to the second - 0.134 eV/atom.